A plane-wave DFT calculation with GGA+U was carried out for a relaxed structure of Mg2Ta2CrO8.

Computed properties:
Total DFT energy (no corrections), eV/atom: -8.347
D(E_F), states/eV per cell: 0.0

```
Mg2Ta2CrO8
1.0
-4.3600 -2.4545 -1.4457
1.9749 0.0972 -5.7491
3.7330 -8.5169 3.8850
Mg Ta Cr O
4 4 2 16
direct
0.7523 0.4164 0.5454
0.7438 0.8710 0.4554
0.2466 0.5850 0.4529
0.2551 0.1301 0.5426
0.7391 0.2941 0.2375
0.7644 0.0324 0.7622
0.2598 0.7070 0.7607
0.2345 0.9687 0.2358
0.2501 0.3492 0.0007
0.7489 0.6518 0.9974
0.0713 0.2073 0.1493
0.4364 0.0084 0.8482
0.9276 0.7937 0.8488
0.5627 0.9926 0.1499
0.5885 0.4478 0.1187
0.9250 0.2824 0.8776
0.4105 0.5531 0.8794
0.0740 0.7185 0.1204
0.4532 0.3000 0.3765
0.0489 0.9102 0.6250
0.9501 0.0908 0.3731
0.5457 0.7012 0.6216
0.3753 0.8454 0.3832
0.1213 0.4478 0.6146
0.6236 0.1557 0.6149
0.8777 0.5534 0.3835
```